# 1
# Cs2RbO (PBE, optimized geometry)
# ΔE_f (raw) = 0.0264 eV per atom
# Volume = 705.6 Å³ per cell
# Distance to the lowest polymorph of the same formula = 754 meV per atom
data_Cs2RbO
_chemical_formula_sum 'Cs8 Rb4 O4'
_space_group_name_H-M_alt 'F m -3 m'
_space_group_IT_number 225
_space_group_name_Hall '-F 4 2 3'
_cell_length_a 8.903
_cell_length_b 8.903
_cell_length_c 8.903
_cell_angle_alpha 90.00
_cell_angle_beta 90.00
_cell_angle_gamma 90.00
loop_
_atom_site_label
_atom_site_type_symbol
_atom_site_fract_x
_atom_site_fract_y
_atom_site_fract_z
Cs1 Cs 0.250 0.250 0.250
Rb1 Rb 0.000 0.000 0.000
O1 O 0.000 0.000 0.500



# 2
# MgFe2Pb (PBE, optimized geometry)
# Volume = 134.7 Å³ per cell
# Total DFT energy (no corrections) = -41.257 eV for the cell shown
data_MgFe2Pb
_chemical_formula_sum 'Mg2 Fe4 Pb2'
_space_group_name_H-M_alt 'I 4/m m m'
_space_group_IT_number 139
_space_group_name_Hall '-I 4 2'
_cell_length_a 4.044
_cell_length_b 4.044
_cell_length_c 8.236
_cell_angle_alpha 90.00
_cell_angle_beta 90.00
_cell_angle_gamma 90.00
loop_
_atom_site_label
_atom_site_type_symbol
_atom_site_fract_x
_atom_site_fract_y
_atom_site_fract_z
Mg1 Mg 0.000 0.000 0.000
Fe1 Fe 0.000 0.500 0.250
Pb1 Pb 0.000 0.000 0.500



# 3
# BaLa3Pt (PBE, optimized geometry)
# Volume = 838.3 Å³ per cell
# Distance to the lowest polymorph of the same formula = 274 meV per atom
data_BaLa3Pt
_chemical_formula_sum 'Ba4 La12 Pt4'
_space_group_name_H-M_alt 'I -4 m 2'
_space_group_IT_number 119
_space_group_name_Hall 'I -4 -2'
_cell_length_a 6.439
_cell_length_b 6.439
_cell_length_c 20.218
_cell_angle_alpha 90.00
_cell_angle_beta 90.00
_cell_angle_gamma 90.00
loop_
_atom_site_label
_atom_site_type_symbol
_atom_site_fract_x
_atom_site_fract_y
_atom_site_fract_z
Ba1 Ba 0.000 0.000 0.200
La1 La 0.000 0.253 0.377
La2 La 0.000 0.500 0.532
Pt1 Pt 0.000 0.000 0.500
Pt2 Pt 0.000 0.500 0.250



# 4
# Ho2AgPd6 (PBE, optimized geometry)
# Volume = 347.4 Å³ per cell
# Total DFT energy (no corrections) = -93.271 eV for the cell shown
data_Ho2AgPd6
_chemical_formula_sum 'Ho4 Ag2 Pd12'
_space_group_name_H-M_alt 'I m m m'
_space_group_IT_number 71
_space_group_name_Hall '-I 2 2'
_cell_length_a 3.158
_cell_length_b 8.047
_cell_length_c 13.668
_cell_angle_alpha 90.00
_cell_angle_beta 90.00
_cell_angle_gamma 90.00
loop_
_atom_site_label
_atom_site_type_symbol
_atom_site_fract_x
_atom_site_fract_y
_atom_site_fract_z
Ho1 Ho 0.000 0.000 0.161
Ag1 Ag 0.000 0.000 0.500
Pd1 Pd 0.000 0.208 0.334
Pd2 Pd 0.000 0.215 0.000



# 5
# CeMgIn4Ag2 (PBE, optimized geometry)
# Volume = 569.0 Å³ per cell
# Total DFT energy (no corrections) = -75.770 eV for the cell shown
data_CeMgIn4Ag2
_chemical_formula_sum 'Ce3 Mg3 In12 Ag6'
_space_group_name_H-M_alt 'R -3 m'
_space_group_IT_number 166
_space_group_name_Hall '-R 3 2"'
_cell_length_a 4.8883
_cell_length_b 4.8883
_cell_length_c 27.4959
_cell_angle_alpha 90.00
_cell_angle_beta 90.00
_cell_angle_gamma 120.00
loop_
_atom_site_label
_atom_site_type_symbol
_atom_site_fract_x
_atom_site_fract_y
_atom_site_fract_z
Ce1 Ce 0.0000 0.0000 0.0000
Mg1 Mg 0.0000 0.0000 0.5000
In1 In 0.0000 0.0000 0.1253
In2 In 0.0000 0.0000 0.3893
Ag1 Ag 0.0000 0.0000 0.2472



# 6
# SrMn2Ag (PBE, optimized geometry)
# Volume = 300.5 Å³ per cell
# Total DFT energy (no corrections) = -63.401 eV for the cell shown
data_SrMn2Ag
_chemical_formula_sum 'Sr3 Mn6 Ag3'
_space_group_name_H-M_alt 'R -3 m'
_space_group_IT_number 166
_space_group_name_Hall '-R 3 2"'
_cell_length_a 4.5771
_cell_length_b 4.5771
_cell_length_c 16.5601
_cell_angle_alpha 90.00
_cell_angle_beta 90.00
_cell_angle_gamma 120.00
loop_
_atom_site_label
_atom_site_type_symbol
_atom_site_fract_x
_atom_site_fract_y
_atom_site_fract_z
Sr1 Sr 0.0000 0.0000 0.0000
Mn1 Mn 0.0000 0.0000 0.2010
Ag1 Ag 0.0000 0.0000 0.5000